Version i
The following is a DFT calculation (GGA-PBE) of a relaxed structure of RbAlNi.

Lattice parameters (Å, degrees): 6.884 6.884 6.884 90.00 90.00 90.00
Space group F-43m (No. 216)
Symmetry-distinct sites (fractional):
Rb1 0.000 0.000 0.000 x4
Al1 0.000 0.000 0.500 x4
Ni1 0.250 0.250 0.750 x4

## Properties
The density comes out at 3.5 g/cm³.

Version ii
The following is a DFT calculation (GGA-PBE) of a relaxed structure of RbAlNi.

Lattice parameters (Å, degrees): 7.372 7.372 7.372 90.00 90.00 90.00
Space group F-43m (No. 216)
Symmetry-distinct sites (fractional):
Rb1 0.000 0.000 0.000 x4
Al1 0.250 0.250 0.750 x4
Ni1 0.250 0.250 0.250 x4

## Properties
The density comes out at 2.8 g/cm³.

Which structure is most stable? version i, by 64.5 kJ/mol of atoms over the runner-up.

Version i
The following is a DFT calculation (GGA-PBE) of a relaxed structure of Sc3Al3SiNi2.

Lattice parameters (Å, degrees): 7.5751 7.5751 2.9338 90.00 90.00 120.00
Space group P-62m (No. 189)
Symmetry-distinct sites (fractional):
Sc1 0.0000 0.2986 0.0000 x3
Al1 0.0000 0.6285 0.5000 x3
Si1 0.0000 0.0000 0.5000 x1
Ni1 0.3333 0.6667 0.0000 x2

## Properties
The density comes out at 4.1 g/cm³.

Version ii
The following is a DFT calculation (GGA-PBE) of a relaxed structure of Sc3Al3SiNi2.

Lattice parameters (Å, degrees): 6.9399 6.9399 3.5525 90.00 90.00 120.00
Space group P-62m (No. 189)
Symmetry-distinct sites (fractional):
Sc1 0.0000 0.6002 0.0000 x3
Al1 0.0000 0.2692 0.5000 x3
Si1 0.0000 0.0000 0.0000 x1
Ni1 0.3333 0.6667 0.5000 x2

## Properties
The density comes out at 4.0 g/cm³.

Which structure is most stable? version ii, by 22.5 kJ/mol of atoms over the runner-up.

Version i
The following is a DFT calculation (GGA-PBE) of a relaxed structure of Tb3Al3SiNi2.

Lattice parameters (Å, degrees): 7.2390 7.2390 3.7681 90.00 90.00 120.00
Space group P-62m (No. 189)
Symmetry-distinct sites (fractional):
Tb1 0.0000 0.5943 0.0000 x3
Al1 0.0000 0.2573 0.5000 x3
Si1 0.0000 0.0000 0.0000 x1
Ni1 0.3333 0.6667 0.5000 x2

## Properties
The density comes out at 6.8 g/cm³.

Version ii
The following is a DFT calculation (GGA-PBE) of a relaxed structure of Tb3Al3SiNi2.

Lattice parameters (Å, degrees): 7.9547 7.9547 3.1412 90.00 90.00 120.00
Space group P-62m (No. 189)
Symmetry-distinct sites (fractional):
Tb1 0.0000 0.3032 0.0000 x3
Al1 0.0000 0.6310 0.5000 x3
Si1 0.0000 0.0000 0.5000 x1
Ni1 0.3333 0.6667 0.0000 x2

## Properties
The density comes out at 6.8 g/cm³.

Which structure is most stable? version i, by 35.9 kJ/mol of atoms over the runner-up.

Version i
The following is a DFT calculation (GGA-PBE) of a relaxed structure of Tm3Al3SiNi2.

Lattice parameters (Å, degrees): 7.8134 7.8134 3.1068 90.00 90.00 120.00
Space group P-62m (No. 189)
Symmetry-distinct sites (fractional):
Tm1 0.0000 0.3023 0.0000 x3
Al1 0.0000 0.6301 0.5000 x3
Si1 0.0000 0.0000 0.5000 x1
Ni1 0.3333 0.6667 0.0000 x2

## Properties
The density comes out at 7.4 g/cm³.

Version ii
The following is a DFT calculation (GGA-PBE) of a relaxed structure of Tm3Al3SiNi2.

Lattice parameters (Å, degrees): 7.1193 7.1193 3.7279 90.00 90.00 120.00
Space group P-62m (No. 189)
Symmetry-distinct sites (fractional):
Tm1 0.0000 0.4062 0.0000 x3
Al1 0.0000 0.7401 0.5000 x3
Si1 0.0000 0.0000 0.0000 x1
Ni1 0.3333 0.6667 0.5000 x2

## Properties
The density comes out at 7.4 g/cm³.

Which structure is most stable? version ii, by 34.9 kJ/mol of atoms over the runner-up.